(1)
# AcDy6Ho2Er, optimized geometry, DFT PBE
data_AcDy6Ho2Er
_chemical_formula_sum 'Ac4 Dy24 Ho8 Er4'
_cell_length_a 9.2002
_cell_length_b 15.1940
_cell_length_c 9.4851
_cell_angle_alpha 90.00
_cell_angle_beta 94.92
_cell_angle_gamma 90.00
_space_group_name_H-M_alt 'C 1 2/c 1'
_space_group_IT_number 15
loop_
_space_group_symop_operation_xyz
'x,y,z'
'-x,-y,-z'
'-x,y,-z+1/2'
'x,-y,z+1/2'
'x+1/2,y+1/2,z'
'-x+1/2,-y+1/2,-z'
'-x+1/2,y+1/2,-z+1/2'
'x+1/2,-y+1/2,z+1/2'
loop_
_atom_site_label
_atom_site_type_symbol
_atom_site_fract_x
_atom_site_fract_y
_atom_site_fract_z
Ac1 Ac 0.0000 0.0297 0.2500
Dy1 Dy 0.0596 0.1892 0.9428
Dy2 Dy 0.1013 0.3890 0.1159
Dy3 Dy 0.2158 0.2288 0.3184
Ho1 Ho 0.2396 0.4431 0.4511
Er1 Er 0.0000 0.4124 0.7500
# - M_tot: 0.0 μB/f.u.
# - Volume: 1321 Å³ per cell
# - Calculated total energy: -4.41 eV per atom

***

(2)
# Na2HPt, optimized geometry, DFT PBE
data_Na2HPt
_chemical_formula_sum 'Na8 H4 Pt4'
_cell_length_a 6.6653
_cell_length_b 6.6653
_cell_length_c 6.6653
_cell_angle_alpha 90.00
_cell_angle_beta 90.00
_cell_angle_gamma 90.00
_space_group_name_H-M_alt 'F m -3 m'
_space_group_IT_number 225
_space_group_name_Hall '-F 4 2 3'
loop_
_atom_site_label
_atom_site_type_symbol
_atom_site_fract_x
_atom_site_fract_y
_atom_site_fract_z
Na1 Na 0.2500 0.2500 0.2500
H1 H 0.0000 0.0000 0.0000
Pt1 Pt 0.0000 0.0000 0.5000
# - Energy above the lowest structure with this stoichiometry: 662 meV per atom
# - M_tot: 0.0 μB/f.u.
# - Volume: 296 Å³ per cell

***

(3)
# TbLu2Se, optimized geometry, DFT PBE
data_TbLu2Se
_chemical_formula_sum 'Tb1 Lu2 Se1'
_cell_length_a 3.5483
_cell_length_b 3.5483
_cell_length_c 8.4418
_cell_angle_alpha 90.00
_cell_angle_beta 90.00
_cell_angle_gamma 90.00
_space_group_name_H-M_alt 'P 4/m m m'
_space_group_IT_number 123
_space_group_name_Hall '-P 4 2'
loop_
_atom_site_label
_atom_site_type_symbol
_atom_site_fract_x
_atom_site_fract_y
_atom_site_fract_z
Tb1 Tb 0.0000 0.0000 0.0000
Lu1 Lu 0.5000 0.5000 0.2906
Se1 Se 0.0000 0.0000 0.5000
# - ΔE_f (raw): -650 meV/atom
# - Energy above the lowest structure with this stoichiometry: 0 meV per atom
# - M_tot: 0.0 μB/f.u.
# - Volume: 106 Å³ per cell

***

(4)
# Cs3Tb3TiSe8, optimized geometry, DFT PBE
data_Cs3Tb3TiSe8
_chemical_formula_sum 'Cs9 Tb9 Ti3 Se24'
_cell_length_a 8.2574
_cell_length_b 8.2574
_cell_length_c 25.6429
_cell_angle_alpha 90.00
_cell_angle_beta 90.00
_cell_angle_gamma 120.00
_space_group_name_H-M_alt 'R -3 m'
_space_group_IT_number 166
_space_group_name_Hall '-R 3 2"'
loop_
_atom_site_label
_atom_site_type_symbol
_atom_site_fract_x
_atom_site_fract_y
_atom_site_fract_z
Cs1 Cs 0.0000 0.5000 0.0000
Tb1 Tb 0.0000 0.5000 0.5000
Ti1 Ti 0.0000 0.0000 0.5000
Se1 Se 0.0000 0.0000 0.2291
Se2 Se 0.0266 0.5133 0.2251
# - ΔE_f (raw): -1583 meV/atom
# - M_tot: 0.0 μB/f.u.
# - Volume: 1514 Å³ per cell

***

(5)
# LiMn2SnN, optimized geometry, DFT PBE
data_LiMn2SnN
_chemical_formula_sum 'Li1 Mn2 Sn1 N1'
_cell_length_a 3.8215
_cell_length_b 3.8215
_cell_length_c 4.1594
_cell_angle_alpha 90.00
_cell_angle_beta 90.00
_cell_angle_gamma 90.00
_space_group_name_H-M_alt 'P 4/m m m'
_space_group_IT_number 123
_space_group_name_Hall '-P 4 2'
loop_
_atom_site_label
_atom_site_type_symbol
_atom_site_fract_x
_atom_site_fract_y
_atom_site_fract_z
Li1 Li 0.0000 0.0000 0.0000
Mn1 Mn 0.0000 0.5000 0.5000
Sn1 Sn 0.5000 0.5000 0.0000
N1 N 0.0000 0.0000 0.5000
# - ΔE_f (raw): -238 meV/atom
# - M_tot: 3.0 μB/f.u.
# - Volume: 61 Å³ per cell

***

(6)
# TaCl, optimized geometry, DFT PBE
data_TaCl
_chemical_formula_sum 'Ta16 Cl16'
_cell_length_a 7.2666
_cell_length_b 8.8548
_cell_length_c 10.5677
_cell_angle_alpha 90.00
_cell_angle_beta 90.00
_cell_angle_gamma 90.00
_space_group_name_H-M_alt 'F d d d'
_space_group_IT_number 70
loop_
_space_group_symop_operation_xyz
'x,y,z'
'-x,-y,-z'
'-x+1/4,-y+1/4,z'
'x+1/4,y+1/4,-z'
'x,-y+1/4,-z+1/4'
'-x,y+1/4,z+1/4'
'-x+1/4,y,-z+1/4'
'x+1/4,-y,z+1/4'
'x,y+1/2,z+1/2'
'-x,-y+1/2,-z+1/2'
'-x+1/4,-y+3/4,z+1/2'
'x+1/4,y+3/4,-z+1/2'
'x,-y+3/4,-z+3/4'
'-x,y+3/4,z+3/4'
'-x+1/4,y+1/2,-z+3/4'
'x+1/4,-y+1/2,z+3/4'
'x+1/2,y,z+1/2'
'-x+1/2,-y,-z+1/2'
'-x+3/4,-y+1/4,z+1/2'
'x+3/4,y+1/4,-z+1/2'
'x+1/2,-y+1/4,-z+3/4'
'-x+1/2,y+1/4,z+3/4'
'-x+3/4,y,-z+3/4'
'x+3/4,-y,z+3/4'
'x+1/2,y+1/2,z'
'-x+1/2,-y+1/2,-z'
'-x+3/4,-y+3/4,z'
'x+3/4,y+3/4,-z'
'x+1/2,-y+3/4,-z+1/4'
'-x+1/2,y+3/4,z+1/4'
'-x+3/4,y+1/2,-z+1/4'
'x+3/4,-y+1/2,z+1/4'
loop_
_atom_site_label
_atom_site_type_symbol
_atom_site_fract_x
_atom_site_fract_y
_atom_site_fract_z
Ta1 Ta 0.1250 0.1250 0.0010
Cl1 Cl 0.0828 0.3750 0.8750
# - ΔE_f (raw): 326 meV/atom
# - M_tot: 0.0 μB/f.u.
# - Volume: 680 Å³ per cell